The following is a PBE calculation of an optimized crystal structure of Sr2MnCu, from Alexandria.

Computed properties:
As for the distance to the lowest polymorph of the same formula: 52 kJ/mol of formula units. The calculated density is 4.28 g/cm³. The magnetization comes out at 3.71 μB per cell. The formation energy comes out at 0.36 eV per atom. The crystal system is tetragonal. The density of states at the Fermi level comes out at 3.250 states/eV/cell.

The structure in CIF format:
```
data_Sr2MnCu
_chemical_formula_sum 'Sr2 Mn1 Cu1'
_cell_length_a 5.441
_cell_length_b 5.441
_cell_length_c 3.854
_cell_angle_alpha 90.00
_cell_angle_beta 90.00
_cell_angle_gamma 90.00
_space_group_name_H-M_alt 'P 4/m m m'
_space_group_IT_number 123
_space_group_name_Hall '-P 4 2'
loop_
_atom_site_label
_atom_site_fract_x
_atom_site_fract_y
_atom_site_fract_z
_atom_site_occupancy
Sr1 0.000 0.500 0.000 1
Mn1 0.000 0.000 0.500 1
Cu1 0.500 0.500 0.500 1
```

---

The following is a PBE calculation of an optimized crystal structure of SrMn2Cu, from Alexandria.

Computed properties:
As for the distance to the lowest polymorph of the same formula: 0 kJ/mol of formula units. The calculated density is 5.03 g/cm³. The magnetization comes out at 0.26 μB per cell. The formation energy comes out at 0.22 eV per atom. The crystal system is trigonal. The density of states at the Fermi level comes out at 12.050 states/eV/cell.

The structure in CIF format:
```
data_SrMn2Cu
_chemical_formula_sum 'Sr3 Mn6 Cu3'
_cell_length_a 4.2244
_cell_length_b 4.2244
_cell_length_c 16.7224
_cell_angle_alpha 90.00
_cell_angle_beta 90.00
_cell_angle_gamma 120.00
_space_group_name_H-M_alt 'R 3 m'
_space_group_IT_number 160
_space_group_name_Hall 'R 3 -2"'
loop_
_atom_site_label
_atom_site_fract_x
_atom_site_fract_y
_atom_site_fract_z
_atom_site_occupancy
Sr1 0.0000 0.0000 0.0000 1
Mn1 0.0000 0.0000 0.4877 1
Mn2 0.0000 0.0000 0.8111 1
Cu1 0.0000 0.0000 0.1951 1
```

---

The following is a PBE calculation of an optimized crystal structure of SrMnCu4, from Alexandria.

Computed properties:
The calculated density is 6.71 g/cm³. The magnetization comes out at 15.40 μB per cell. The formation energy comes out at 0.17 eV per atom. The crystal system is cubic. The density of states at the Fermi level comes out at 21.147 states/eV/cell.

The structure in CIF format:
```
data_SrMnCu4
_chemical_formula_sum 'Sr4 Mn4 Cu16'
_cell_length_a 7.323
_cell_length_b 7.323
_cell_length_c 7.323
_cell_angle_alpha 90.00
_cell_angle_beta 90.00
_cell_angle_gamma 90.00
_space_group_name_H-M_alt 'F -4 3 m'
_space_group_IT_number 216
_space_group_name_Hall 'F -4 2 3'
loop_
_atom_site_label
_atom_site_fract_x
_atom_site_fract_y
_atom_site_fract_z
_atom_site_occupancy
Sr1 0.000 0.000 0.000 1
Mn1 0.250 0.250 0.250 1
Cu1 0.123 0.123 0.623 1
```

---

The following is a PBE calculation of an optimized crystal structure of SrMn2Cu, from Alexandria.

Computed properties:
As for the distance to the lowest polymorph of the same formula: 165 kJ/mol of formula units. The calculated density is 4.91 g/cm³. The magnetization comes out at 16.26 μB per cell. The formation energy comes out at 0.65 eV per atom. The crystal system is orthorhombic. The density of states at the Fermi level comes out at 7.375 states/eV/cell.

The structure in CIF format:
```
data_SrMn2Cu
_chemical_formula_sum 'Sr2 Mn4 Cu2'
_cell_length_a 4.646
_cell_length_b 5.448
_cell_length_c 6.971
_cell_angle_alpha 90.00
_cell_angle_beta 90.00
_cell_angle_gamma 90.00
_space_group_name_H-M_alt 'I m m 2'
_space_group_IT_number 44
_space_group_name_Hall 'I 2 -2'
loop_
_atom_site_label
_atom_site_fract_x
_atom_site_fract_y
_atom_site_fract_z
_atom_site_occupancy
Sr1 0.000 0.000 0.000 1
Mn1 0.000 0.000 0.480 1
Mn2 0.000 0.500 0.200 1
Cu1 0.000 0.500 0.819 1
```

---

The following is a PBE calculation of an optimized crystal structure of Sr2MnCu, from Alexandria.

Computed properties:
As for the distance to the lowest polymorph of the same formula: 64 kJ/mol of formula units. The calculated density is 4.24 g/cm³. The magnetization comes out at 14.97 μB per cell. The formation energy comes out at 0.40 eV per atom. The crystal system is cubic. The density of states at the Fermi level comes out at 19.370 states/eV/cell.

The structure in CIF format:
```
data_Sr2MnCu
_chemical_formula_sum 'Sr8 Mn4 Cu4'
_cell_length_a 7.719
_cell_length_b 7.719
_cell_length_c 7.719
_cell_angle_alpha 90.00
_cell_angle_beta 90.00
_cell_angle_gamma 90.00
_space_group_name_H-M_alt 'F m -3 m'
_space_group_IT_number 225
_space_group_name_Hall '-F 4 2 3'
loop_
_atom_site_label
_atom_site_fract_x
_atom_site_fract_y
_atom_site_fract_z
_atom_site_occupancy
Sr1 0.250 0.250 0.250 1
Mn1 0.000 0.000 0.000 1
Cu1 0.000 0.000 0.500 1
```

---

The following is a PBE calculation of an optimized crystal structure of Sr3MnCu, from Alexandria.

Computed properties:
As for the distance to the lowest polymorph of the same formula: 0 kJ/mol of formula units. The calculated density is 3.15 g/cm³. The magnetization comes out at 4.49 μB per cell. The formation energy comes out at 0.43 eV per atom. The crystal system is cubic. The density of states at the Fermi level comes out at 5.367 states/eV/cell.

The structure in CIF format:
```
data_Sr3MnCu
_chemical_formula_sum 'Sr3 Mn1 Cu1'
_cell_length_a 5.861
_cell_length_b 5.861
_cell_length_c 5.861
_cell_angle_alpha 90.00
_cell_angle_beta 90.00
_cell_angle_gamma 90.00
_space_group_name_H-M_alt 'P m -3 m'
_space_group_IT_number 221
_space_group_name_Hall '-P 4 2 3'
loop_
_atom_site_label
_atom_site_fract_x
_atom_site_fract_y
_atom_site_fract_z
_atom_site_occupancy
Sr1 0.000 0.000 0.500 1
Mn1 0.500 0.500 0.500 1
Cu1 0.000 0.000 0.000 1
```

---

The following is a PBE calculation of an optimized crystal structure of SrMn2Cu, from Alexandria.

Computed properties:
As for the distance to the lowest polymorph of the same formula: 145 kJ/mol of formula units. The calculated density is 5.23 g/cm³. The magnetization comes out at 7.67 μB per cell. The formation energy comes out at 0.59 eV per atom. The crystal system is monoclinic. The density of states at the Fermi level comes out at 3.432 states/eV/cell.

The structure in CIF format:
```
data_SrMn2Cu
_chemical_formula_sum 'Sr1 Mn2 Cu1'
_cell_length_a 3.116
_cell_length_b 4.159
_cell_length_c 6.577
_cell_angle_alpha 90.00
_cell_angle_beta 103.45
_cell_angle_gamma 90.00
_space_group_name_H-M_alt 'P 1 2/m 1'
_space_group_IT_number 10
_space_group_name_Hall '-P 2y'
loop_
_atom_site_label
_atom_site_fract_x
_atom_site_fract_y
_atom_site_fract_z
_atom_site_occupancy
Sr1 0.000 0.000 0.000 1
Mn1 0.371 0.500 0.670 1
Cu1 0.000 0.000 0.500 1
```

---

The following is a PBE calculation of an optimized crystal structure of SrMnCu, from Alexandria.

Computed properties:
As for the distance to the lowest polymorph of the same formula: 0 kJ/mol of formula units. The calculated density is 4.67 g/cm³. The magnetization comes out at 3.82 μB per cell. The formation energy comes out at 0.29 eV per atom. The crystal system is hexagonal. The density of states at the Fermi level comes out at 1.874 states/eV/cell.

The structure in CIF format:
```
data_SrMnCu
_chemical_formula_sum 'Sr1 Mn1 Cu1'
_cell_length_a 4.3622
_cell_length_b 4.3622
_cell_length_c 4.4464
_cell_angle_alpha 90.00
_cell_angle_beta 90.00
_cell_angle_gamma 120.00
_space_group_name_H-M_alt 'P -6 m 2'
_space_group_IT_number 187
_space_group_name_Hall 'P -6 2'
loop_
_atom_site_label
_atom_site_fract_x
_atom_site_fract_y
_atom_site_fract_z
_atom_site_occupancy
Sr1 0.0000 0.0000 0.0000 1
Mn1 0.3333 0.6667 0.5000 1
Cu1 0.6667 0.3333 0.5000 1
```

---

The following is a PBE calculation of an optimized crystal structure of SrMnCu, from Alexandria.

Computed properties:
As for the distance to the lowest polymorph of the same formula: 69 kJ/mol of formula units. The calculated density is 4.36 g/cm³. The magnetization comes out at 17.10 μB per cell. The formation energy comes out at 0.53 eV per atom. The crystal system is cubic. The density of states at the Fermi level comes out at 13.625 states/eV/cell.

The structure in CIF format:
```
data_SrMnCu
_chemical_formula_sum 'Sr4 Mn4 Cu4'
_cell_length_a 6.795
_cell_length_b 6.795
_cell_length_c 6.795
_cell_angle_alpha 90.00
_cell_angle_beta 90.00
_cell_angle_gamma 90.00
_space_group_name_H-M_alt 'F -4 3 m'
_space_group_IT_number 216
_space_group_name_Hall 'F -4 2 3'
loop_
_atom_site_label
_atom_site_fract_x
_atom_site_fract_y
_atom_site_fract_z
_atom_site_occupancy
Sr1 0.000 0.000 0.000 1
Mn1 0.000 0.000 0.500 1
Cu1 0.250 0.250 0.750 1
```

---

The following is a PBE calculation of an optimized crystal structure of SrMn2Cu, from Alexandria.

Computed properties:
As for the distance to the lowest polymorph of the same formula: 201 kJ/mol of formula units. The calculated density is 5.40 g/cm³. The magnetization comes out at 32.49 μB per cell. The formation energy comes out at 0.74 eV per atom. The crystal system is cubic. The density of states at the Fermi level comes out at 32.071 states/eV/cell.

The structure in CIF format:
```
data_SrMn2Cu
_chemical_formula_sum 'Sr4 Mn8 Cu4'
_cell_length_a 6.847
_cell_length_b 6.847
_cell_length_c 6.847
_cell_angle_alpha 90.00
_cell_angle_beta 90.00
_cell_angle_gamma 90.00
_space_group_name_H-M_alt 'F m -3 m'
_space_group_IT_number 225
_space_group_name_Hall '-F 4 2 3'
loop_
_atom_site_label
_atom_site_fract_x
_atom_site_fract_y
_atom_site_fract_z
_atom_site_occupancy
Sr1 0.000 0.000 0.000 1
Mn1 0.250 0.250 0.250 1
Cu1 0.000 0.000 0.500 1
```